Below is a relaxed structure of RbUAsO5, with properties calculated at the PBE level.

Unit cell a=6.3549 b=6.3549 c=8.0068 alpha=96.76 beta=96.76 gamma=108.89
Last column: nearest neighbours and their distance in Å.
Fractional positions:
1 Rb 0.3515 0.6485 0.2500  5 O 2.90-3.12
2 Rb 0.6485 0.3515 0.7500  5 O 2.90-3.12
3 U 0.0000 0.0000 0.5000  2 O 1.90
4 U 0.0000 0.0000 0.0000  2 O 1.90
5 As 0.6920 0.3080 0.2500  2 O 1.73
6 As 0.3080 0.6920 0.7500  2 O 1.73
7 O 0.0709 0.9291 0.2500  2 U 2.13
8 O 0.9291 0.0709 0.7500  2 U 2.13
9 O 0.8869 0.2957 0.1181  1 As 1.73
10 O 0.1131 0.7043 0.8819  1 As 1.73
11 O 0.7043 0.1131 0.3819  1 As 1.73
12 O 0.2957 0.8869 0.6181  1 As 1.73
13 O 0.8054 0.6964 0.4750  1 U 1.90
14 O 0.1946 0.3036 0.5250  1 U 1.90
15 O 0.3036 0.1946 0.0250  1 U 1.90
16 O 0.6964 0.8054 0.9750  1 U 1.90

Results
* spin magnetization: 0.0 μB/cell
* formation energy (no corrections): -2.28 eV/atom
* SG: C2/c (15)

Below is a relaxed structure of RbUAsO6, with properties calculated at the PBE level.

Unit cell a=5.3763 b=5.3763 c=6.3592 alpha=90.00 beta=90.00 gamma=60.00
Last column: nearest neighbours and their distance in Å.
Fractional positions:
1 Rb 0.0000 0.0000 0.0000  6 O 2.94
2 U 0.3333 0.3333 0.5000  6 O 2.11
3 As 0.6666 0.6667 0.5000  6 O 1.88
4 O 0.9672 0.3956 0.3318  1 As 1.88
5 O 0.3956 0.9672 0.6681  1 As 1.88
6 O 0.6371 0.3956 0.6681  1 As 1.88
7 O 0.9672 0.6372 0.6681  1 As 1.88
8 O 0.3956 0.6372 0.3318  1 As 1.88
9 O 0.6371 0.9672 0.3318  1 As 1.88

Results
* spin magnetization: 0.0 μB/cell
* formation energy (no corrections): -2.09 eV/atom
* SG: P312 (149)

Below is a relaxed structure of Rb4U3As2O16, with properties calculated at the PBE level.

Unit cell a=7.1777 b=7.1751 c=17.6662 alpha=90.00 beta=90.00 gamma=91.08
Last column: nearest neighbours and their distance in Å.
Fractional positions:
1 Rb 0.4696 0.1030 0.1170  5 O 2.84-3.04
2 Rb 0.5304 0.8970 0.6170  5 O 2.84-3.04
3 Rb 0.5304 0.8970 0.8830  5 O 2.84-3.04
4 Rb 0.4696 0.1030 0.3830  5 O 2.84-3.04
5 Rb 0.0411 0.9441 0.7500  6 O 2.86-2.96
6 Rb 0.9589 0.0559 0.2500  6 O 2.86-2.96
7 Rb 0.0000 0.0000 0.0000  2 O 2.79
8 Rb 0.0000 0.0000 0.5000  2 O 2.79
9 U 0.7178 0.4231 0.7500  2 O 1.85
10 U 0.2822 0.5769 0.2500  2 O 1.85
11 U 0.2184 0.4236 0.8555  2 O 1.85-1.86
12 U 0.7816 0.5764 0.3555  2 O 1.85-1.86
13 U 0.7816 0.5764 0.1445  2 O 1.85-1.86
14 U 0.2184 0.4236 0.6445  2 O 1.85-1.86
15 As 0.7144 0.4006 0.9454  4 O 1.68-1.75
16 As 0.2856 0.5994 0.4454  4 O 1.68-1.75
17 As 0.2856 0.5994 0.0546  4 O 1.68-1.75
18 As 0.7144 0.4006 0.5546  4 O 1.68-1.75
19 O 0.6660 0.1878 0.9813  1 As 1.68
20 O 0.3340 0.8122 0.4813  1 As 1.68
21 O 0.3340 0.8122 0.0187  1 As 1.68
22 O 0.6660 0.1878 0.5187  1 As 1.68
23 O 0.7597 0.5749 0.0104  1 As 1.72
24 O 0.2403 0.4251 0.5104  1 As 1.72
25 O 0.2403 0.4251 0.9896  1 As 1.72
26 O 0.7597 0.5749 0.4896  1 As 1.72
27 O 0.8961 0.3874 0.8804  1 As 1.74
28 O 0.1039 0.6126 0.3804  1 As 1.74
29 O 0.1039 0.6126 0.1196  1 As 1.74
30 O 0.8961 0.3874 0.6196  1 As 1.74
31 O 0.5518 0.4750 0.8790  1 As 1.75
32 O 0.4482 0.5250 0.3790  1 As 1.75
33 O 0.4482 0.5250 0.1210  1 As 1.75
34 O 0.5518 0.4750 0.6210  1 As 1.75
35 O 0.7366 0.6808 0.7500  1 U 1.85
36 O 0.2634 0.3192 0.2500  1 U 1.85
37 O 0.6978 0.1655 0.7500  1 U 1.85
38 O 0.3022 0.8345 0.2500  1 U 1.85
39 O 0.4021 0.4237 0.7500  3 U 2.27-2.28
40 O 0.5979 0.5763 0.2500  3 U 2.27-2.28
41 O 0.0377 0.4045 0.7500  3 U 2.27-2.30, 2 O 2.52
42 O 0.9623 0.5955 0.2500  3 U 2.27-2.30, 2 O 2.52
43 O 0.1973 0.6806 0.8542  1 U 1.85
44 O 0.8027 0.3194 0.3542  1 U 1.85
45 O 0.8027 0.3194 0.1458  1 U 1.85
46 O 0.1973 0.6806 0.6458  1 U 1.85
47 O 0.2339 0.1652 0.8632  1 U 1.86
48 O 0.7661 0.8348 0.3632  1 U 1.86
49 O 0.7661 0.8348 0.1368  1 U 1.86
50 O 0.2339 0.1652 0.6368  1 U 1.86

Results
* spin magnetization: 0.0 μB/cell
* formation energy (no corrections): -2.39 eV/atom
* SG: P2_1/m (11)